Here is W3Au after structural relaxation from Alexandria via LeMat-Bulk. Energies are from PBE.

Cell and atoms, written as POSCAR:
```
W3Au
1.0
4.599 0.000 0.000
0.000 5.739 0.000
0.000 0.000 4.992
W Au
6 2
Direct
0.250 0.009 0.164
0.250 0.491 0.164
0.250 0.750 0.695
0.750 0.250 0.305
0.750 0.509 0.836
0.750 0.991 0.836
0.250 0.250 0.663
0.750 0.750 0.337
```

Calculated values
Electronic total energy, eV per atom: -10.19
Size of the total moment, μB/f.u.: 0.00

---

Here is W3Au after structural relaxation from Alexandria via LeMat-Bulk. Energies are from PBE.

Cell and atoms, written as POSCAR:
```
W3Au
1.0
1.400 0.808 9.835
-1.400 0.808 9.835
0.000 -1.617 9.835
W Au
3 1
Direct
0.000 0.000 0.000
0.250 0.250 0.250
0.750 0.750 0.750
0.500 0.500 0.500
```

Calculated values
Electronic total energy, eV per atom: -10.08
Size of the total moment, μB/f.u.: 0.00